Arrangement a

DFT (PBE) results for a relaxed MnFeRu crystal.

As for the space-group type: No. 107. For the density, the calculation gives 9.62 g cm⁻³. The density of states at the Fermi level comes out at 1.51 states/eV per atom.

Unit cell a=5.7057 b=5.7057 c=5.7057 alpha=153.64 beta=153.64 gamma=37.62
Sites, in units of the cell vectors:
Mn 0.0000 0.0000 0.0000
Fe 0.3432 0.3432 0.0000
Ru 0.6679 0.6679 0.0000

---

Arrangement b

DFT (PBE) results for a relaxed MnFeRu crystal.

As for the space-group type: No. 139. For the density, the calculation gives 9.17 g cm⁻³. The density of states at the Fermi level comes out at 1.02 states/eV per atom.

Unit cell a=10.0706 b=10.0706 c=10.0706 alpha=164.09 beta=164.09 gamma=22.57
Sites, in units of the cell vectors:
Mn 0.1375 0.1375 0.0000
Mn 0.8625 0.8625 0.0000
Fe 0.2857 0.2857 0.0000
Fe 0.7143 0.7143 0.0000
Ru 0.4386 0.4386 0.0000
Ru 0.5614 0.5614 0.0000

---

Most stable: arrangement a. Least stable: arrangement b.

---

Arrangement a

DFT (PBE) results for a relaxed MnFeRu crystal.

As for the space-group type: No. 42. For the density, the calculation gives 9.20 g cm⁻³. The density of states at the Fermi level comes out at 1.22 states/eV per atom.

Unit cell a=6.6209 b=6.4181 c=2.5799 alpha=83.04 beta=74.20 gamma=22.75
Sites, in units of the cell vectors:
Mn 0.0000 0.0000 0.0000
Fe 0.3402 0.3402 0.6598
Ru 0.6681 0.6681 0.3319

---

Arrangement b

DFT (PBE) results for a relaxed MnFeRu crystal.

As for the space-group type: No. 187. For the density, the calculation gives 9.80 g cm⁻³. The density of states at the Fermi level comes out at 1.38 states/eV per atom.

Unit cell a=4.0033 b=4.0033 c=2.5864 alpha=90.00 beta=90.00 gamma=120.00
Sites, in units of the cell vectors:
Mn 0.0000 0.0000 0.0000
Fe 0.3333 0.6667 0.0000
Ru 0.6667 0.3333 0.5000

---

Arrangement c

DFT (PBE) results for a relaxed MnFeRu crystal.

As for the space-group type: No. 44. For the density, the calculation gives 9.71 g cm⁻³. The density of states at the Fermi level comes out at 1.26 states/eV per atom.

Unit cell a=4.4509 b=4.4509 c=4.4509 alpha=145.97 beta=132.19 gamma=59.98
Sites, in units of the cell vectors:
Mn 0.0000 0.0000 0.0000
Fe 0.6652 0.6652 0.0000
Ru 0.3353 0.3353 0.0000

---

Most stable: arrangement b. Least stable: arrangement a.

---

Arrangement a

DFT (PBE) results for a relaxed Mn4FeS5 crystal.

As for the space-group type: No. 166. For the density, the calculation gives 4.39 g cm⁻³. The density of states at the Fermi level comes out at 0.45 states/eV per atom.

Unit cell a=14.9402 b=14.9402 c=14.9402 alpha=13.79 beta=13.79 gamma=13.79
Sites, in units of the cell vectors:
Mn 0.1009 0.1009 0.1009
Mn 0.2993 0.2993 0.2993
Mn 0.7007 0.7007 0.7007
Mn 0.8991 0.8991 0.8991
Fe 0.5000 0.5000 0.5000
S 0.0000 0.0000 0.0000
S 0.1987 0.1987 0.1987
S 0.4011 0.4011 0.4011
S 0.5989 0.5989 0.5989
S 0.8013 0.8013 0.8013

---

Arrangement b

DFT (PBE) results for a relaxed Mn4FeS5 crystal.

As for the space-group type: No. 12. For the density, the calculation gives 4.52 g cm⁻³. The density of states at the Fermi level comes out at 0.50 states/eV per atom.

Unit cell a=6.1773 b=6.1773 c=8.7243 alpha=118.20 beta=118.20 gamma=33.55
Sites, in units of the cell vectors:
Mn 0.1000 0.1000 0.3961
Mn 0.2980 0.2980 0.1949
Mn 0.7020 0.7020 0.8051
Mn 0.9000 0.9000 0.6039
Fe 0.5000 0.5000 0.0000
S 0.0976 0.0976 0.9011
S 0.3006 0.3006 0.7026
S 0.5000 0.5000 0.5000
S 0.6994 0.6994 0.2974
S 0.9024 0.9024 0.0989

---

Most stable: arrangement a. Least stable: arrangement b.

---

Arrangement a

DFT (PBE) results for a relaxed Mn3FeS crystal.

As for the space-group type: No. 221. For the density, the calculation gives 4.96 g cm⁻³. The density of states at the Fermi level comes out at 1.00 states/eV per atom.

Unit cell a=4.3905 b=4.3905 c=4.3905 alpha=90.00 beta=90.00 gamma=90.00
Sites, in units of the cell vectors:
Mn 0.0000 0.0000 0.5000
Mn 0.0000 0.5000 0.0000
Mn 0.5000 0.0000 0.0000
Fe 0.0000 0.0000 0.0000
S 0.5000 0.5000 0.5000

---

Arrangement b

DFT (PBE) results for a relaxed Mn3FeS crystal.

As for the space-group type: No. 221. For the density, the calculation gives 6.50 g cm⁻³. The density of states at the Fermi level comes out at 2.95 states/eV per atom.

Unit cell a=4.0126 b=4.0126 c=4.0126 alpha=90.00 beta=90.00 gamma=90.00
Sites, in units of the cell vectors:
Mn 0.0000 0.0000 0.5000
Mn 0.0000 0.5000 0.0000
Mn 0.5000 0.0000 0.0000
Fe 0.5000 0.5000 0.5000
S 0.0000 0.0000 0.0000

---

Most stable: arrangement b. Least stable: arrangement a.

---

Arrangement a

DFT (PBE) results for a relaxed MnFeSb2 crystal.

As for the space-group type: No. 225. For the density, the calculation gives 9.11 g cm⁻³. The density of states at the Fermi level comes out at 1.36 states/eV per atom.

Unit cell a=4.5032 b=4.5032 c=4.5032 alpha=60.00 beta=60.00 gamma=60.00
Sites, in units of the cell vectors:
Mn 0.0000 0.0000 0.0000
Fe 0.5000 0.5000 0.5000
Sb 0.2500 0.2500 0.2500
Sb 0.7500 0.7500 0.7500

---

Arrangement b

DFT (PBE) results for a relaxed MnFeSb2 crystal.

As for the space-group type: No. 38. For the density, the calculation gives 8.13 g cm⁻³. The density of states at the Fermi level comes out at 0.58 states/eV per atom.

Unit cell a=4.1473 b=5.2132 c=5.2132 alpha=39.97 beta=90.00 gamma=90.00
Sites, in units of the cell vectors:
Mn 0.0000 0.0000 0.0000
Fe 0.5000 0.8549 0.8549
Sb 0.0000 0.2849 0.2849
Sb 0.5000 0.5682 0.5682

---

Most stable: arrangement b. Least stable: arrangement a.

---

Arrangement a

DFT (PBE) results for a relaxed MnFeSb2 crystal.

As for the space-group type: No. 12. For the density, the calculation gives 7.24 g cm⁻³. The density of states at the Fermi level comes out at 1.29 states/eV per atom.

Unit cell a=3.9429 b=3.9429 c=6.5453 alpha=106.17 beta=106.17 gamma=57.42
Sites, in units of the cell vectors:
Mn 0.0000 0.0000 0.0000
Fe 0.5000 0.5000 0.5000
Sb 0.2452 0.2452 0.7334
Sb 0.7548 0.7548 0.2666

---

Arrangement b

DFT (PBE) results for a relaxed MnFeSb2 crystal.

As for the space-group type: No. 99. For the density, the calculation gives 7.39 g cm⁻³. The density of states at the Fermi level comes out at 0.82 states/eV per atom.

Unit cell a=3.2782 b=3.2782 c=7.4099 alpha=90.00 beta=90.00 gamma=90.00
Sites, in units of the cell vectors:
Mn 0.0000 0.0000 0.0000
Fe 0.5000 0.5000 0.8254
Sb 0.0000 0.0000 0.6272
Sb 0.5000 0.5000 0.2029

---

Most stable: arrangement b. Least stable: arrangement a.